Density functional theory data (PBE-GGA) for a relaxed structure of PrCoGeH.

Cell and atoms, written as POSCAR:
```
PrCoGeH
1.0
3.9930 0.0000 0.0000
0.0000 3.9930 0.0000
0.0000 0.0000 7.8938
Pr H Ge Co
2 2 2 2
direct
0.0000 0.5000 0.3296 Pr
0.5000 0.0000 0.6704 Pr
0.0000 0.0000 0.5000 H
0.5000 0.5000 0.5000 H
0.0000 0.5000 0.8405 Ge
0.5000 0.0000 0.1595 Ge
0.0000 0.0000 0.0000 Co
0.5000 0.5000 0.0000 Co
```

space group	P4/nmm, No. 129
calculated volume	15.73	Å³/atom
energy	-5.593	eV per atom
DOS at the Fermi energy	4.9	states/eV/cell

Density functional theory data (PBE-GGA) for a relaxed structure of Nd4Er2Tl3O2.

Cell and atoms, written as POSCAR:
```
Nd4Er2Tl3O2
1.0
-3.7831 -3.0215 -0.0419
3.0046 -3.7684 0.4638
-0.4471 4.2687 12.3065
O Nd Tl Er
2 4 3 2
direct
0.3913 0.3913 0.7826 O
0.6087 0.6087 0.2174 O
0.9127 0.4127 0.8255 Nd
0.0873 0.5873 0.1745 Nd
0.4127 0.9127 0.8255 Nd
0.5873 0.0873 0.1745 Nd
0.0000 0.0000 0.0000 Tl
0.8211 0.8211 0.6421 Tl
0.1789 0.1789 0.3579 Tl
0.3026 0.3026 0.6052 Er
0.6974 0.6974 0.3948 Er
```

space group	I4/mmm, No. 139
calculated volume	26.80	Å³/atom
formation energy without anion corrections	-1170	meV per atom
DOS at the Fermi energy	7.0	states/eV/cell

Density functional theory data (PBE-GGA) for a relaxed structure of ThAl2Ag3.

Cell and atoms, written as POSCAR:
```
ThAl2Ag3
1.0
4.2853 0.0000 0.0000
-2.1426 8.1919 0.1352
0.0000 -3.5684 6.9931
Al Ag Th
4 6 2
direct
0.5201 0.0403 0.1719 Al
0.8026 0.6052 0.3017 Al
0.4799 0.9597 0.8281 Al
0.1974 0.3948 0.6983 Al
0.3157 0.6313 0.5543 Ag
0.6843 0.3687 0.4457 Ag
0.6053 0.2106 0.7069 Ag
0.3947 0.7894 0.2931 Ag
0.0386 0.0771 0.3733 Ag
0.9614 0.9229 0.6267 Ag
0.8524 0.7047 0.9333 Th
0.1476 0.2953 0.0667 Th
```

space group	C2/m, No. 12
calculated volume	20.63	Å³/atom
DOS at the Fermi energy	6.8	states/eV/cell
formation enthalpy at 0 K	-1.2	eV per formula unit

Density functional theory data (PBE-GGA) for a relaxed structure of HfMgTi2.

Cell and atoms, written as POSCAR:
```
HfMgTi2
1.0
-1.4824 2.1720 1.4782
-0.1087 -1.7465 2.4572
7.5825 3.3339 2.7052
Ti Mg Hf
2 1 1
direct
0.0000 0.0000 0.7407 Ti
0.0000 0.0000 0.2593 Ti
0.5000 0.5000 0.0000 Mg
0.5000 0.5000 0.5000 Hf
```

space group	P4/mmm, No. 123
calculated volume	19.82	Å³/atom
DOS at the Fermi energy	5.0	states/eV/cell
formation enthalpy at 0 K	0.4	eV per formula unit

Density functional theory data (PBE-GGA) for a relaxed structure of TbPmSm6Sc2.

Cell and atoms, written as POSCAR:
```
TbPmSm6Sc2
1.0
-8.0445 1.1369 -5.0118
3.6388 -5.3755 -5.8412
-4.0167 -3.6594 6.8360
Pm Sm Sc Tb
2 12 4 2
direct
0.2500 0.4055 0.5945 Pm
0.7500 0.5945 0.4055 Pm
0.9462 0.8922 0.2398 Sm
0.1798 0.5607 0.0167 Sm
0.4462 0.2398 0.8922 Sm
0.8202 0.4393 0.9833 Sm
0.6188 0.4934 0.7001 Sm
0.6798 0.0167 0.5607 Sm
0.8812 0.2999 0.5066 Sm
0.5538 0.7602 0.1078 Sm
0.0538 0.1078 0.7602 Sm
0.3812 0.5066 0.2999 Sm
0.1188 0.7001 0.4934 Sm
0.3202 0.9833 0.4393 Sm
0.9508 0.7058 0.8042 Sc
0.0492 0.2942 0.1958 Sc
0.5492 0.1958 0.2942 Sc
0.4508 0.8042 0.7058 Sc
0.2500 0.9693 0.0307 Tb
0.7500 0.0307 0.9693 Tb
```

space group	C2/c, No. 15
calculated volume	32.05	Å³/atom
DOS at the Fermi energy	31.7	states/eV/cell
formation enthalpy at 0 K	1.2	eV per formula unit

Density functional theory data (PBE-GGA) for a relaxed structure of SrPrPt2.

Cell and atoms, written as POSCAR:
```
SrPrPt2
1.0
3.6615 0.0000 0.0000
0.0000 3.6615 0.0000
0.0000 0.0000 7.3876
Sr Pt Pr
1 2 1
direct
0.5000 0.5000 0.5000 Sr
0.0000 0.0000 0.7775 Pt
0.0000 0.0000 0.2225 Pt
0.5000 0.5000 0.0000 Pr
```

space group	P4/mmm, No. 123
calculated volume	24.76	Å³/atom
distance to the lowest polymorph of the same formula	0.05	eV per formula unit
DOS at the Fermi energy	1.5	states/eV/cell
formation enthalpy at 0 K	-3.8	eV per formula unit

Density functional theory data (PBE-GGA) for a relaxed structure of LaPmAlIn.

Cell and atoms, written as POSCAR:
```
LaPmAlIn
1.0
5.4200 0.0000 0.0000
2.7100 4.6939 0.0000
2.7100 1.5646 4.4254
Pm In La Al
1 1 1 1
direct
0.5000 0.5000 0.5000 Pm
0.7500 0.7500 0.7500 In
0.0000 0.0000 0.0000 La
0.2500 0.2500 0.2500 Al
```

space group	F-43m, No. 216
calculated volume	28.15	Å³/atom
distance to the lowest polymorph of the same formula	0.06	eV per formula unit
DOS at the Fermi energy	1.5	states/eV/cell
formation enthalpy at 0 K	-1.7	eV per formula unit

Density functional theory data (PBE-GGA) for a relaxed structure of AcPrAlRh.

Cell and atoms, written as POSCAR:
```
AcPrAlRh
1.0
-1.8071 1.0542 4.8877
-5.1901 0.8380 0.7920
-2.9107 -3.6140 2.5950
Rh Pr Ac Al
1 1 1 1
direct
0.5000 0.5000 0.5000 Rh
0.2500 0.2500 0.2500 Pr
0.7500 0.7500 0.7500 Ac
0.0000 0.0000 0.0000 Al
```

space group	F-43m, No. 216
calculated volume	26.57	Å³/atom
DOS at the Fermi energy	2.9	states/eV/cell
formation enthalpy at 0 K	-1.3	eV per formula unit

Density functional theory data (PBE-GGA) for a relaxed structure of PrCdReO6.

Cell and atoms, written as POSCAR:
```
PrCdReO6
1.0
5.5403 0.0001 -0.0001
2.7703 4.7980 0.0001
0.0001 -0.0002 4.9981
Re O Pr Cd
1 6 1 1
direct
0.3333 0.3333 0.5001 Re
0.3283 0.6171 0.2801 O
0.6171 0.0545 0.2801 O
0.6170 0.3286 0.7200 O
0.3286 0.0544 0.7200 O
0.0545 0.3283 0.2801 O
0.0544 0.6170 0.7200 O
0.0000 0.0000 0.0000 Pr
0.6666 0.6667 0.4997 Cd
```

space group	P312, No. 149
calculated volume	14.76	Å³/atom
formation energy without anion corrections	-1913	meV per atom

Density functional theory data (PBE-GGA) for a relaxed structure of BiPdPb.

Cell and atoms, written as POSCAR:
```
BiPdPb
1.0
3.4157 0.0000 0.0000
0.0000 3.4157 0.0000
-1.7078 -1.7078 6.5612
Pb Pd Bi
1 1 1
direct
0.3034 0.3034 0.6067 Pb
0.6614 0.6614 0.3229 Pd
0.0352 0.0352 0.0704 Bi
```

space group	I4mm, No. 107
calculated volume	25.52	Å³/atom
distance to the lowest polymorph of the same formula	0.00	eV per formula unit
DOS at the Fermi energy	1.7	states/eV/cell
formation enthalpy at 0 K	-0.6	eV per formula unit

Density functional theory data (PBE-GGA) for a relaxed structure of DyTmGaGe.

Cell and atoms, written as POSCAR:
```
DyTmGaGe
1.0
5.0248 0.0000 0.0000
2.5124 4.3516 0.0000
2.5124 1.4505 4.1027
Dy Ga Tm Ge
1 1 1 1
direct
0.0000 0.0000 0.0000 Dy
0.7500 0.7500 0.7500 Ga
0.5000 0.5000 0.5000 Tm
0.2500 0.2500 0.2500 Ge
```

space group	F-43m, No. 216
calculated volume	22.43	Å³/atom
distance to the lowest polymorph of the same formula	0.86	eV per formula unit
DOS at the Fermi energy	3.0	states/eV/cell
formation enthalpy at 0 K	-2.3	eV per formula unit

Density functional theory data (PBE-GGA) for a relaxed structure of AcPm8Dy4.

Cell and atoms, written as POSCAR:
```
AcPm8Dy4
1.0
-3.6799 0.3329 -3.5997
1.6163 -2.4691 -5.5783
-3.1021 -16.2724 -2.0402
Ac Pm Dy
1 8 4
direct
0.5157 0.0017 0.9669 Ac
0.2074 0.6987 0.8862 Pm
0.2839 0.7766 0.6557 Pm
0.5910 0.0869 0.7315 Pm
0.9751 0.4696 0.5800 Pm
0.4404 0.9165 0.2022 Pm
0.7475 0.2268 0.2781 Pm
0.8240 0.3046 0.0476 Pm
0.0563 0.5338 0.3538 Pm
0.1353 0.6035 0.1259 Dy
0.6687 0.1581 0.5042 Dy
0.8961 0.3998 0.8079 Dy
0.3626 0.8454 0.4296 Dy
```

space group	C2/m, No. 12
calculated volume	34.20	Å³/atom
DOS at the Fermi energy	19.2	states/eV/cell
formation enthalpy at 0 K	0.4	eV per formula unit

Please write out number 4 again, unchanged.
Density functional theory data (PBE-GGA) for a relaxed structure of HfMgTi2.

Cell and atoms, written as POSCAR:
```
HfMgTi2
1.0
-1.4824 2.1720 1.4782
-0.1087 -1.7465 2.4572
7.5825 3.3339 2.7052
Ti Mg Hf
2 1 1
direct
0.0000 0.0000 0.7407 Ti
0.0000 0.0000 0.2593 Ti
0.5000 0.5000 0.0000 Mg
0.5000 0.5000 0.5000 Hf
```

space group	P4/mmm, No. 123
calculated volume	19.82	Å³/atom
DOS at the Fermi energy	5.0	states/eV/cell
formation enthalpy at 0 K	0.4	eV per formula unit

Q: Among the records above, which one has the highest calculated volume?
A: AcPm8Dy4